Model one:
This record from Alexandria describes a relaxed structure of CaMn3Os. The functional is PBE.

Summary:
density = 5.9 g/cm3

Cell: 4.8090 4.8090 4.8090 Å, 90.00 90.00 90.00°
Positions (direct):
Os: 0.0000 0.0000 0.0000
Mn: 0.0000 0.0000 0.5000
Mn: 0.0000 0.5000 0.0000
Ca: 0.5000 0.5000 0.5000
Mn: 0.5000 0.0000 0.0000

Model two:
This record from Alexandria describes a relaxed structure of CaMn3Os. The functional is PBE.

Summary:
density = 9.1 g/cm3

Cell: 4.1684 4.1684 4.1684 Å, 90.00 90.00 90.00°
Positions (direct):
Mn: 0.5000 0.0000 0.0000
Os: 0.5000 0.5000 0.5000
Mn: 0.0000 0.5000 0.0000
Ca: 0.0000 0.0000 0.0000
Mn: 0.0000 0.0000 0.5000

Energies relative to the minimum, meV per atom: model one 0; model two 1870